Material: La2PrRh
Method: DFT, PBE-GGA
State: relaxed

```
La2PrRh
1.0
1.9679 -6.1285 0.0000
1.9679 6.1285 0.0000
0.0000 0.0000 10.1602
La Pr Rh
4 2 2
direct
0.1398 0.8602 0.5671
0.1398 0.8602 0.9329
0.8602 0.1398 0.0671
0.8602 0.1398 0.4329
0.4154 0.5846 0.7500
0.5846 0.4154 0.2500
0.2792 0.7208 0.2500
0.7208 0.2792 0.7500
```

ΔE_f, kcal/mol of atoms: -9.540
Polymorph energy (0 for the lowest one), meV/atom: 24
Space group: No. 63
Energy, eV per atom: -5.910